1.
{"formula": "TbPrAlHg", "functional": "GGA-PBE", "state": "optimized geometry", "lattice_angstrom": [[3.608, 0.000, 0.000], [0.000, 3.608, 0.000], [0.000, 0.000, 8.028]], "species": ["Tb", "Pr", "Al", "Hg"], "frac_coords": [[0.000, 0.000, 0.000], [0.000, 0.000, 0.522], [0.500, 0.500, 0.769], [0.500, 0.500, 0.241]], "magmom_total_mub_per_fu": 0.00, "relative_energy_ev_per_fu": 0.00, "volume_a3_per_fu": 104.5}


2.
{"formula": "KCS2Cl", "functional": "GGA-PBE", "state": "optimized geometry", "lattice_angstrom": [[6.250, 0.000, 0.000], [0.000, 6.250, 0.000], [0.000, 0.000, 5.775]], "species": ["K", "C", "S", "S", "Cl"], "frac_coords": [[0.000, 0.000, 0.000], [0.500, 0.500, 0.500], [0.000, 0.500, 0.000], [0.500, 0.000, 0.000], [0.000, 0.000, 0.500]], "magmom_total_mub_per_fu": 2.00, "relative_energy_ev_per_fu": 8.18, "volume_a3_per_fu": 225.6, "raw_formation_energy_ev_per_atom": 2.01}